CsK2NbF8 | PBE | relaxed

Computed properties:
The value obtained for the raw formation energy is -2921 meV/atom. As for the density of states at the Fermi level: 0.000 states/eV per atom. For the uncorrected energy, the calculation gives -63.140 eV for the cell shown. The total moment comes out at 0.14 μB per formula unit.

```
data_CsK2NbF8
_chemical_formula_sum 'Cs1 K2 Nb1 F8'
_symmetry_space_group_name_H-M 'P -1'
_symmetry_Int_Tables_number 2
_cell_length_a 4.445
_cell_length_b 6.645
_cell_length_c 8.711
_cell_angle_alpha 93.22
_cell_angle_beta 100.02
_cell_angle_gamma 108.79
loop_
_symmetry_equiv_pos_as_xyz
'x,y,z'
'-x,-y,-z'
loop_
_atom_site_label
_atom_site_type_symbol
_atom_site_fract_x
_atom_site_fract_y
_atom_site_fract_z
Cs1 Cs 0.000 0.000 0.000
K1 K 0.325 0.523 0.198
Nb1 Nb 0.000 0.000 0.500
F1 F 0.090 0.759 0.406
F2 F 0.292 0.201 0.394
F3 F 0.309 0.670 0.931
F4 F 0.337 0.048 0.686
```